4
Lattice="0.000 3.236 3.236 3.236 0.000 3.236 3.236 3.236 0.000" Properties=species:S:1:pos:R:3 comment="Zr2BeAs, single point on PBEsol structure, DFT SCAN" dos_at_fermi_per_ev_atom=0.824 de_polymorph_ev_per_fu=4.55 crystal_system=cubic dft_energy_ev_per_cell=-84.848 vol_a3_per_atom=16.940 formation_enthalpy_0k_ev_per_fu=1.1 pbc="T T T"
Zr 0.000 0.000 0.000
Zr 1.618 1.618 1.618
Be 4.854 4.854 4.854
As 3.236 3.236 3.236


5
Lattice="4.235 0.000 0.000 0.000 4.235 0.000 0.000 0.000 5.116" Properties=species:S:1:pos:R:3 comment="YBiSN2, single point on PBEsol structure, DFT SCAN" dos_at_fermi_per_ev_atom=0.342 e_form_raw_ev_per_atom=0.4818 crystal_system=tetragonal dft_energy_ev_per_cell=-132.224 vol_a3_per_atom=18.355 pbc="T T T"
Y 0.000 0.000 0.000
Bi 2.118 2.118 2.558
S 2.118 2.118 0.000
N 0.000 2.118 2.558
N 2.118 0.000 2.558


5
Lattice="4.690 0.000 0.000 0.000 4.690 0.000 0.000 0.000 5.156" Properties=species:S:1:pos:R:3 comment="MgTlZn2Ru, single point on PBEsol structure, DFT SCAN" dos_at_fermi_per_ev_atom=0.614 crystal_system=tetragonal dft_energy_ev_per_cell=-132.643 vol_a3_per_atom=22.680 formation_enthalpy_0k_ev_per_fu=6.5 pbc="T T T"
Mg 0.000 0.000 0.000
Tl 0.000 0.000 2.578
Zn 0.000 2.345 0.000
Zn 2.345 0.000 0.000
Ru 2.345 2.345 2.578


Question: What is the formula in the second record?
Answer: YBiSN2


Question: Which formula does entry 2 have?
Answer: YBiSN2


Repeat the third record exactly.
5
Lattice="4.690 0.000 0.000 0.000 4.690 0.000 0.000 0.000 5.156" Properties=species:S:1:pos:R:3 comment="MgTlZn2Ru, single point on PBEsol structure, DFT SCAN" dos_at_fermi_per_ev_atom=0.614 crystal_system=tetragonal dft_energy_ev_per_cell=-132.643 vol_a3_per_atom=22.680 formation_enthalpy_0k_ev_per_fu=6.5 pbc="T T T"
Mg 0.000 0.000 0.000
Tl 0.000 0.000 2.578
Zn 0.000 2.345 0.000
Zn 2.345 0.000 0.000
Ru 2.345 2.345 2.578